## BaAg2Br (SCAN)

Data for a PBEsol-optimized structure of BaAg2Br. Values from VASP.

Values from the calculation:
* DOS at the Fermi energy: 1.3 states/eV per cell
* DFT total energy: -124.05 eV/cell

Geometry as Quantum ESPRESSO input:
```
&SYSTEM
  ibrav = 0, nat = 4, ntyp = 3
/
ATOMIC_SPECIES
Ba 137.33 Ba.upf
Ag 107.87 Ag.upf
Br 79.90 Br.upf
ATOMIC_POSITIONS angstrom
Ba 0.0000 0.0000 0.0000
Ag 0.0000 2.2179 2.9301
Ag 2.1389 0.0000 2.9301
Br 2.1389 2.2179 0.0000
CELL_PARAMETERS angstrom
4.2779 0.0000 0.0000
0.0000 4.4358 0.0000
0.0000 0.0000 5.8603
```